VASP calculation (PBE-GGA) on a relaxed Sc2MnBeC crystal.

Summary:
Crystal system: tetragonal
Spin magnetization: 0.85 μB/cell
N(E_F): 0.797 states/eV/atom
Space group: P4/mmm, No. 123
Formation enthalpy at 0 K: -190 meV per atom

```
data_Sc2MnBeC
_cell_length_a 4.483
_cell_length_b 4.483
_cell_length_c 3.698
_cell_angle_alpha 90.00
_cell_angle_beta 90.00
_cell_angle_gamma 90.00
_space_group_name_H-M_alt 'P 1'
_space_group_IT_number 1
_space_group_name_Hall 'P 1'
loop_
_atom_site_label
_atom_site_fract_x
_atom_site_fract_y
_atom_site_fract_z
Sc1 0.000 0.500 0.000
Sc2 0.500 0.000 0.000
Mn1 0.000 0.000 0.500
Be1 0.500 0.500 0.500
C1 0.000 0.000 0.000
```

VASP calculation (PBE-GGA) on a relaxed Mn2BeSiC crystal.

Summary:
E_form (uncorrected): -0.07 eV/atom
Crystal system: tetragonal
Spin magnetization: 0.29 μB/cell
N(E_F): 0.777 states/eV/atom
Space group: P4/mmm, No. 123

```
data_Mn2BeSiC
_cell_length_a 3.844
_cell_length_b 3.844
_cell_length_c 3.287
_cell_angle_alpha 90.00
_cell_angle_beta 90.00
_cell_angle_gamma 90.00
_space_group_name_H-M_alt 'P 1'
_space_group_IT_number 1
_space_group_name_Hall 'P 1'
loop_
_atom_site_label
_atom_site_fract_x
_atom_site_fract_y
_atom_site_fract_z
Mn1 0.000 0.500 0.000
Mn2 0.500 0.000 0.000
Be1 0.000 0.000 0.500
Si1 0.500 0.500 0.500
C1 0.000 0.000 0.000
```

VASP calculation (PBE-GGA) on a relaxed TiMn2BeC crystal.

Summary:
Crystal system: tetragonal
Spin magnetization: 5.65 μB/cell
N(E_F): 0.657 states/eV/atom
Space group: P4/mmm, No. 123
Formation enthalpy at 0 K: 1673 meV per atom

```
data_TiMn2BeC
_cell_length_a 4.482
_cell_length_b 4.482
_cell_length_c 3.970
_cell_angle_alpha 90.00
_cell_angle_beta 90.00
_cell_angle_gamma 90.00
_space_group_name_H-M_alt 'P 1'
_space_group_IT_number 1
_space_group_name_Hall 'P 1'
loop_
_atom_site_label
_atom_site_fract_x
_atom_site_fract_y
_atom_site_fract_z
Ti1 0.000 0.000 0.000
Mn1 0.000 0.500 0.000
Mn2 0.500 0.000 0.000
Be1 0.500 0.500 0.500
C1 0.000 0.000 0.500
```